The following is a GGA-PBE calculation of an optimized crystal structure of LiHfInNi, from OQMD.

E_tot: -5.13 eV/atom

Cell lengths 4.5791, 4.5791, 4.5791 Å; angles 60.00, 60.00, 60.00 degrees
Element x y z (fractional)
Ni1 0.5000 0.5000 0.5000
Li1 0.7500 0.7500 0.7500
In1 0.0000 0.0000 0.0000
Hf1 0.2500 0.2500 0.2500